First-principles (PBE) data for an optimized crystal structure of Pm3Mg5Cu2, as listed in Alexandria via LeMat-Bulk.

abc: 10.431 10.431 4.369
angles: 90.00 90.00 90.00
Sites, in units of the cell vectors:
Pm  0.000  0.000  0.000
Pm  0.178  0.322  0.000
Pm  0.322  0.822  0.000
Pm  0.500  0.500  0.000
Pm  0.678  0.178  0.000
Pm  0.822  0.678  0.000
Mg  0.000  0.500  0.500
Mg  0.066  0.778  0.500
Mg  0.222  0.066  0.500
Mg  0.278  0.566  0.500
Mg  0.434  0.278  0.500
Mg  0.500  0.000  0.500
Mg  0.566  0.722  0.500
Mg  0.722  0.434  0.500
Mg  0.778  0.934  0.500
Mg  0.934  0.222  0.500
Cu  0.115  0.615  0.000
Cu  0.385  0.115  0.000
Cu  0.615  0.885  0.000
Cu  0.885  0.385  0.000

Output
The value obtained for the total moment is 0.00 μB per cell. Its formation energy is -13.7 kJ/mol of atoms.